First-principles (SCAN) data for a PBEsol-optimized structure of LaWAu2, as listed in Alexandria via LeMat-Bulk.

Cell and atoms, written as POSCAR:
```
LaWAu2
1.0
2.959 0.000 0.000
-1.479 2.562 0.000
0.000 0.000 30.150
La W Au
3 3 6
Direct
0.000 0.000 0.000
0.333 0.667 0.667
0.667 0.333 0.333
0.000 0.000 0.500
0.333 0.667 0.167
0.667 0.333 0.833
0.000 0.000 0.241
0.000 0.000 0.759
0.333 0.667 0.426
0.333 0.667 0.907
0.667 0.333 0.093
0.667 0.333 0.574
```

Results
calculated volume = 19.050 A^3/atom
D(E_F) = 0.809 states/eV per atom
formation energy = 0.35 eV per atom